<w>
## NaLi2Bi2 (PBE)

Data for crystalline NaLi2Bi2 at its relaxed geometry.

Lattice parameters (Å, degrees): 4.694 4.694 7.048 70.55 70.55 90.00
Atoms (fractional coordinates):
Bi (0.381, 0.381, 0.237)
Li (0.250, 0.750, 0.500)
Bi (0.619, 0.619, 0.763)
Na (0.000, 0.000, 0.000)
Li (0.750, 0.250, 0.500)

* SG: No. 139
* Fermi-level density of states: 1.55 states/eV/f.u.
* total magnetization: 0.00 μB per cell



<x>
## NaLi2Bi2 (PBE)

Data for crystalline NaLi2Bi2 at its relaxed geometry.

Lattice parameters (Å, degrees): 8.678 8.678 3.276 90.00 90.00 90.00
Atoms (fractional coordinates):
Na (0.500, 0.500, 0.000)
Bi (0.676, 0.824, 0.500)
Bi (0.324, 0.176, 0.500)
Li (0.881, 0.619, 0.000)
Li (0.381, 0.881, 0.000)
Li (0.619, 0.119, 0.000)
Li (0.119, 0.381, 0.000)
Na (0.000, 0.000, 0.000)
Bi (0.824, 0.324, 0.500)
Bi (0.176, 0.676, 0.500)

* SG: No. 127
* Fermi-level density of states: 1.26 states/eV/f.u.
* total magnetization: 0.00 μB per cell



Which one is most stable, and which one is least stable? <x> is the most stable of them, while <w> is the least stable.



<w>
## Na2Li2Bi (PBE)

Data for crystalline Na2Li2Bi at its relaxed geometry.

Lattice parameters (Å, degrees): 7.192 7.192 5.220 90.00 90.00 90.00
Atoms (fractional coordinates):
Na (0.813, 0.313, 0.500)
Li (0.646, 0.146, 0.000)
Bi (0.500, 0.500, 0.000)
Na (0.687, 0.813, 0.500)
Li (0.146, 0.354, 0.000)
Li (0.854, 0.646, 0.000)
Bi (0.000, 0.000, 0.000)
Na (0.313, 0.187, 0.500)
Na (0.187, 0.687, 0.500)
Li (0.354, 0.854, 0.000)

* SG: No. 127
* Fermi-level density of states: 2.07 states/eV/f.u.
* total magnetization: 0.00 μB per cell



<x>
## Na2Li2Bi (PBE)

Data for crystalline Na2Li2Bi at its relaxed geometry.

Lattice parameters (Å, degrees): 8.222 8.222 3.902 90.00 90.00 90.00
Atoms (fractional coordinates):
Bi (0.000, 0.000, 0.000)
Na (0.868, 0.632, 0.000)
Na (0.368, 0.868, 0.000)
Li (0.326, 0.174, 0.500)
Li (0.174, 0.674, 0.500)
Na (0.132, 0.368, 0.000)
Bi (0.500, 0.500, 0.000)
Na (0.632, 0.132, 0.000)
Li (0.674, 0.826, 0.500)
Li (0.826, 0.326, 0.500)

* SG: No. 127
* Fermi-level density of states: 2.87 states/eV/f.u.
* total magnetization: 0.00 μB per cell



Which one is most stable, and which one is least stable? <w> is the most stable of them, while <x> is the least stable.



<w>
## RbNa2LiBi (PBE)

Data for crystalline RbNa2LiBi at its relaxed geometry.

Lattice parameters (Å, degrees): 6.224 6.224 5.521 90.00 90.00 90.00
Atoms (fractional coordinates):
Na (0.000, 0.500, 0.000)
Li (0.000, 0.000, 0.500)
Na (0.500, 0.000, 0.000)
Rb (0.500, 0.500, 0.500)
Bi (0.000, 0.000, 0.000)

* SG: No. 123
* Fermi-level density of states: 2.38 states/eV/f.u.
* total magnetization: 0.00 μB per cell



<x>
## RbNa2LiBi (PBE)

Data for crystalline RbNa2LiBi at its relaxed geometry.

Lattice parameters (Å, degrees): 5.874 5.874 5.270 90.00 90.00 90.00
Atoms (fractional coordinates):
Na (0.000, 0.500, 0.000)
Na (0.500, 0.000, 0.000)
Rb (0.500, 0.500, 0.500)
Li (0.000, 0.000, 0.000)
Bi (0.000, 0.000, 0.500)

* SG: No. 123
* Fermi-level density of states: 2.41 states/eV/f.u.
* total magnetization: 0.08 μB per cell



Which one is most stable, and which one is least stable? <w> is the most stable of them, while <x> is the least stable.



<w>
## LiNb3Bi (PBE)

Data for crystalline LiNb3Bi at its relaxed geometry.

Lattice parameters (Å, degrees): 5.230 5.230 5.230 90.00 90.00 90.00
Atoms (fractional coordinates):
Nb (0.500, 0.000, 0.000)
Li (0.500, 0.500, 0.500)
Nb (0.000, 0.500, 0.000)
Nb (0.000, 0.000, 0.500)
Bi (0.000, 0.000, 0.000)

* SG: No. 221
* Fermi-level density of states: 8.12 states/eV/f.u.
* total magnetization: 0.00 μB per cell



<x>
## LiNb3Bi (PBE)

Data for crystalline LiNb3Bi at its relaxed geometry.

Lattice parameters (Å, degrees): 4.543 4.543 4.543 90.00 90.00 90.00
Atoms (fractional coordinates):
Nb (0.500, 0.000, 0.000)
Li (0.000, 0.000, 0.000)
Nb (0.000, 0.500, 0.000)
Nb (0.000, 0.000, 0.500)
Bi (0.500, 0.500, 0.500)

* SG: No. 221
* Fermi-level density of states: 6.13 states/eV/f.u.
* total magnetization: 0.00 μB per cell



Which one is most stable, and which one is least stable? <x> is the most stable of them, while <w> is the least stable.



<w>
## Li2NdBi (PBE)

Data for crystalline Li2NdBi at its relaxed geometry.

Lattice parameters (Å, degrees): 5.034 5.034 5.034 60.00 60.00 60.00
Site moments in Bohr magnetons follow the coordinates.
Atoms (fractional coordinates):
Bi (0.500, 0.500, 0.500)  -0.01
Li (0.250, 0.250, 0.250)  0.02
Nd (0.000, 0.000, 0.000)  0.14
Li (0.750, 0.750, 0.750)  0.02

* SG: No. 225
* Fermi-level density of states: 3.32 states/eV/f.u.
* total magnetization: 0.38 μB per cell



<x>
## Li2NdBi (PBE)

Data for crystalline Li2NdBi at its relaxed geometry.

Lattice parameters (Å, degrees): 4.970 4.576 4.576 90.00 90.00 90.00
Atoms (fractional coordinates):
Bi (0.500, 0.000, 0.000)
Nd (0.500, 0.500, 0.500)
Li (0.000, 0.500, 0.000)
Li (0.000, 0.000, 0.500)

* SG: No. 123
* Fermi-level density of states: 1.23 states/eV/f.u.
* total magnetization: 0.00 μB per cell



Which one is most stable, and which one is least stable? <x> is the most stable of them, while <w> is the least stable.



<w>
## LiNi3Bi (PBE)

Data for crystalline LiNi3Bi at its relaxed geometry.

Lattice parameters (Å, degrees): 4.837 4.837 4.837 90.00 90.00 90.00
Atoms (fractional coordinates):
Bi (0.000, 0.000, 0.000)
Ni (0.000, 0.500, 0.000)
Li (0.500, 0.500, 0.500)
Ni (0.000, 0.000, 0.500)
Ni (0.500, 0.000, 0.000)

* SG: No. 221
* Fermi-level density of states: 4.73 states/eV/f.u.
* total magnetization: 0.00 μB per cell



<x>
## LiNi3Bi (PBE)

Data for crystalline LiNi3Bi at its relaxed geometry.

Lattice parameters (Å, degrees): 4.145 4.145 4.145 90.00 90.00 90.00
Atoms (fractional coordinates):
Ni (0.000, 0.500, 0.000)
Ni (0.000, 0.000, 0.500)
Ni (0.500, 0.000, 0.000)
Bi (0.500, 0.500, 0.500)
Li (0.000, 0.000, 0.000)

* SG: No. 221
* Fermi-level density of states: 10.49 states/eV/f.u.
* total magnetization: 0.11 μB per cell



Which one is most stable, and which one is least stable? <x> is the most stable of them, while <w> is the least stable.



<w>
## LiNiBi2 (PBE)

Data for crystalline LiNiBi2 at its relaxed geometry.

Lattice parameters (Å, degrees): 4.912 4.912 4.912 60.00 60.00 60.00
Atoms (fractional coordinates):
Li (0.000, 0.000, 0.000)
Bi (0.750, 0.750, 0.750)
Ni (0.500, 0.500, 0.500)
Bi (0.250, 0.250, 0.250)

* SG: No. 225
* Fermi-level density of states: 1.23 states/eV/f.u.
* total magnetization: 0.00 μB per cell



<x>
## LiNiBi2 (PBE)

Data for crystalline LiNiBi2 at its relaxed geometry.

Lattice parameters (Å, degrees): 4.199 4.199 6.544 71.29 71.29 60.00
Atoms (fractional coordinates):
Li (0.504, 0.504, 0.488)
Bi (0.266, 0.266, 0.202)
Bi (0.066, 0.066, 0.801)
Ni (0.664, 0.664, 0.009)

* SG: No. 160
* Fermi-level density of states: 1.71 states/eV/f.u.
* total magnetization: 0.00 μB per cell



<y>
## LiNiBi2 (PBE)

Data for crystalline LiNiBi2 at its relaxed geometry.

Lattice parameters (Å, degrees): 3.599 4.820 4.820 90.00 90.00 90.00
Atoms (fractional coordinates):
Li (0.500, 0.500, 0.500)
Ni (0.500, 0.000, 0.000)
Bi (0.000, 0.500, 0.000)
Bi (0.000, 0.000, 0.500)

* SG: No. 123
* Fermi-level density of states: 1.23 states/eV/f.u.
* total magnetization: 0.00 μB per cell



Which one is most stable, and which one is least stable? <x> is the most stable of them, while <y> is the least stable.



<w>
## LiNiBi2 (PBE)

Data for crystalline LiNiBi2 at its relaxed geometry.

Lattice parameters (Å, degrees): 3.444 3.444 7.256 90.00 90.00 90.00
Atoms (fractional coordinates):
Bi (0.000, 0.000, 0.774)
Li (0.500, 0.500, 0.500)
Bi (0.000, 0.000, 0.226)
Ni (0.500, 0.500, 0.000)

* SG: No. 123
* Fermi-level density of states: 1.46 states/eV/f.u.
* total magnetization: 0.00 μB per cell



<x>
## LiNiBi2 (PBE)

Data for crystalline LiNiBi2 at its relaxed geometry.

Lattice parameters (Å, degrees): 8.945 8.945 6.793 48.82 48.82 90.00
Atoms (fractional coordinates):
Li (0.250, 0.750, 0.500)
Li (0.500, 0.500, 0.000)
Bi (0.375, 0.256, 0.750)
Bi (0.744, 0.125, 0.250)
Bi (0.006, 0.625, 0.250)
Bi (0.875, 0.994, 0.750)
Ni (0.000, 0.000, 0.000)
Ni (0.750, 0.250, 0.500)

* SG: No. 122
* Fermi-level density of states: 2.12 states/eV/f.u.
* total magnetization: 0.00 μB per cell



Which one is most stable, and which one is least stable? <w> is the most stable of them, while <x> is the least stable.



<w>
## LiNi2Bi2 (PBE)

Data for crystalline LiNi2Bi2 at its relaxed geometry.

Lattice parameters (Å, degrees): 7.340 7.340 3.525 90.00 90.00 90.00
Atoms (fractional coordinates):
Bi (0.673, 0.827, 0.500)
Bi (0.173, 0.673, 0.500)
Li (0.000, 0.000, 0.000)
Bi (0.827, 0.327, 0.500)
Ni (0.377, 0.877, 0.000)
Ni (0.877, 0.623, 0.000)
Ni (0.123, 0.377, 0.000)
Li (0.500, 0.500, 0.000)
Ni (0.623, 0.123, 0.000)
Bi (0.327, 0.173, 0.500)

* SG: No. 127
* Fermi-level density of states: 2.46 states/eV/f.u.
* total magnetization: 0.00 μB per cell



<x>
## LiNi2Bi2 (PBE)

Data for crystalline LiNi2Bi2 at its relaxed geometry.

Lattice parameters (Å, degrees): 5.143 5.143 5.317 61.08 61.08 90.00
Atoms (fractional coordinates):
Bi (0.250, 0.750, 0.500)
Ni (0.351, 0.351, 0.298)
Ni (0.649, 0.649, 0.702)
Li (0.000, 0.000, 0.000)
Bi (0.750, 0.250, 0.500)

* SG: No. 139
* Fermi-level density of states: 2.85 states/eV/f.u.
* total magnetization: 0.00 μB per cell



<y>
## LiNi2Bi2 (PBE)

Data for crystalline LiNi2Bi2 at its relaxed geometry.

Lattice parameters (Å, degrees): 7.707 7.707 3.308 90.00 90.00 90.00
Atoms (fractional coordinates):
Bi (0.836, 0.664, 0.000)
Bi (0.336, 0.836, 0.000)
Bi (0.664, 0.164, 0.000)
Li (0.500, 0.500, 0.000)
Ni (0.624, 0.876, 0.500)
Li (0.000, 0.000, 0.000)
Ni (0.376, 0.124, 0.500)
Ni (0.124, 0.624, 0.500)
Ni (0.876, 0.376, 0.500)
Bi (0.164, 0.336, 0.000)

* SG: No. 127
* Fermi-level density of states: 3.10 states/eV/f.u.
* total magnetization: 0.00 μB per cell



Which one is most stable, and which one is least stable? <w> is the most stable of them, while <x> is the least stable.



<w>
## Li2NiBi2 (PBE)

Data for crystalline Li2NiBi2 at its relaxed geometry.

Lattice parameters (Å, degrees): 6.787 6.787 4.229 90.00 90.00 90.00
Atoms (fractional coordinates):
Bi (0.676, 0.824, 0.500)
Ni (0.000, 0.000, 0.000)
Li (0.639, 0.139, 0.000)
Li (0.139, 0.361, 0.000)
Ni (0.500, 0.500, 0.000)
Bi (0.824, 0.324, 0.500)
Li (0.861, 0.639, 0.000)
Li (0.361, 0.861, 0.000)
Bi (0.176, 0.676, 0.500)
Bi (0.324, 0.176, 0.500)

* SG: No. 127
* Fermi-level density of states: 1.56 states/eV/f.u.
* total magnetization: 0.00 μB per cell



<x>
## Li2NiBi2 (PBE)

Data for crystalline Li2NiBi2 at its relaxed geometry.

Lattice parameters (Å, degrees): 6.955 6.955 4.623 90.00 90.00 90.00
Atoms (fractional coordinates):
Ni (0.000, 0.000, 0.000)
Bi (0.658, 0.158, 0.000)
Ni (0.500, 0.500, 0.000)
Bi (0.342, 0.842, 0.000)
Li (0.155, 0.655, 0.500)
Bi (0.158, 0.342, 0.000)
Bi (0.842, 0.658, 0.000)
Li (0.655, 0.845, 0.500)
Li (0.845, 0.345, 0.500)
Li (0.345, 0.155, 0.500)

* SG: No. 127
* Fermi-level density of states: 2.32 states/eV/f.u.
* total magnetization: 0.00 μB per cell



Which one is most stable, and which one is least stable? <x> is the most stable of them, while <w> is the least stable.